Record 1
## Ce2PmPaSe4 (GGA-PBE)

Data for a geometry-optimized Ce2PmPaSe4 structure.

Output
crystal system: monoclinic
symmetry: No. 10
uncorrected formation energy: -1.66 eV per atom

Cell lengths 4.149, 7.232, 7.197 Å; angles 109.30, 90.00, 90.00 degrees
Last column: magnetic moment on the atom in μB.
Fractional coordinates of all 8 atoms:
Ce 0.500 0.000 0.500  0.63
Ce 0.000 0.500 0.500  0.73
Pm 0.000 0.000 0.000  0.00
Pa 0.500 0.500 0.000  0.52
Se 0.500 0.252 0.246  -0.01
Se 0.500 0.748 0.754  -0.01
Se 0.000 0.254 0.755  -0.01
Se 0.000 0.746 0.245  -0.01



Record 2
## SbPbSCl2 (GGA-PBE)

Data for a geometry-optimized SbPbSCl2 structure.

Output
crystal system: tetragonal
symmetry: No. 123
uncorrected formation energy: 0.05 eV per atom
polymorph energy (0 for the lowest one): 0.274 eV per atom

Cell lengths 5.465, 5.465, 5.599 Å; angles 90.00, 90.00, 90.00 degrees
Last column: magnetic moment on the atom in μB.
Fractional coordinates of all 5 atoms:
Pb 0.000 0.000 0.000  0.00
Sb 0.500 0.500 0.500  0.68
S 0.000 0.000 0.500  -0.15
Cl 0.000 0.500 0.000  0.03
Cl 0.500 0.000 0.000  0.03



Record 3
## LiPt6W (GGA-PBE)

Data for a geometry-optimized LiPt6W structure.

Output
crystal system: tetragonal
symmetry: No. 123
energy of formation from the pure elements: -388 meV/atom

Cell lengths 3.951, 3.951, 7.764 Å; angles 90.00, 90.00, 90.00 degrees
Fractional coordinates of all 8 atoms:
Li 0.000 0.000 0.000
Pt 0.500 0.500 0.000
Pt 0.500 0.500 0.500
Pt 0.500 0.000 0.252
Pt 0.500 0.000 0.748
Pt 0.000 0.500 0.252
Pt 0.000 0.500 0.748
W 0.000 0.000 0.500



Record 4
## SrS3F (GGA-PBE)

Data for a geometry-optimized SrS3F structure.

Output
crystal system: cubic
symmetry: No. 221
uncorrected formation energy: -0.37 eV per atom
polymorph energy (0 for the lowest one): 0.000 eV per atom

Cell lengths 4.563, 4.563, 4.563 Å; angles 90.00, 90.00, 90.00 degrees
Fractional coordinates of all 5 atoms:
Sr 0.500 0.500 0.500
S 0.000 0.500 0.000
S 0.000 0.000 0.500
S 0.500 0.000 0.000
F 0.000 0.000 0.000



Record 5
## TcBi2N (GGA-PBE)

Data for a geometry-optimized TcBi2N structure.

Output
crystal system: tetragonal
symmetry: No. 122
uncorrected formation energy: 1.04 eV per atom

Cell lengths 6.070, 6.070, 6.600 Å; angles 62.63, 62.63, 90.00 degrees
Fractional coordinates of all 8 atoms:
N 0.500 0.500 0.000
N 0.250 0.750 0.500
Bi 0.581 0.125 0.250
Bi 0.169 0.625 0.250
Bi 0.375 0.419 0.750
Bi 0.875 0.831 0.750
Tc 0.000 0.000 0.000
Tc 0.750 0.250 0.500



Record 6
## Nd5DySc2 (GGA-PBE)

Data for a geometry-optimized Nd5DySc2 structure.

Output
crystal system: tetragonal
symmetry: No. 140
polymorph energy (0 for the lowest one): 0.102 eV per atom
energy of formation from the pure elements: 140 meV/atom

Cell lengths 9.103, 9.103, 8.980 Å; angles 120.45, 120.45, 90.00 degrees
Last column: magnetic moment on the atom in μB.
Fractional coordinates of all 16 atoms:
Nd 0.490 0.692 0.681  0.00
Nd 0.808 0.010 0.319  0.00
Nd 0.000 0.000 0.000  0.04
Nd 0.500 0.500 0.000  0.04
Nd 0.192 0.990 0.681  0.00
Nd 0.692 0.192 0.681  0.00
Nd 0.990 0.490 0.681  0.00
Nd 0.308 0.808 0.319  0.00
Nd 0.010 0.510 0.319  0.00
Nd 0.510 0.308 0.319  0.00
Dy 0.750 0.750 0.500  0.07
Dy 0.250 0.250 0.500  0.07
Sc 0.148 0.352 0.000  0.00
Sc 0.648 0.148 0.000  0.00
Sc 0.352 0.852 0.000  0.00
Sc 0.852 0.648 0.000  0.00



Record 7
## Er3Tm3PdRu2 (GGA-PBE)

Data for a geometry-optimized Er3Tm3PdRu2 structure.

Output
crystal system: hexagonal
symmetry: No. 189
energy of formation from the pure elements: -414 meV/atom

Cell lengths 4.658, 7.253, 7.253 Å; angles 120.00, 90.00, 90.00 degrees
Fractional coordinates of all 9 atoms:
Er 0.500 0.733 0.000
Er 0.500 0.000 0.733
Er 0.500 0.267 0.267
Tm 0.000 0.585 0.585
Tm 0.000 0.000 0.415
Tm 0.000 0.415 0.000
Pd 0.000 0.000 0.000
Ru 0.500 0.667 0.333
Ru 0.500 0.333 0.667



Record 8
## K2DyGeO4 (GGA-PBE)

Data for a geometry-optimized K2DyGeO4 structure.

Output
crystal system: tetragonal
symmetry: No. 82
uncorrected formation energy: -2.00 eV per atom

Cell lengths 6.175, 6.175, 6.175 Å; angles 84.86, 123.01, 123.01 degrees
Fractional coordinates of all 8 atoms:
K 0.500 0.750 0.250
K 0.000 0.000 0.000
Dy 0.500 0.250 0.750
Ge 0.000 0.500 0.500
O 0.643 0.387 0.484
O 0.097 0.256 0.613
O 0.903 0.516 0.159
O 0.357 0.841 0.744



Copy entry 7 word for word.
## Er3Tm3PdRu2 (GGA-PBE)

Data for a geometry-optimized Er3Tm3PdRu2 structure.

Output
crystal system: hexagonal
symmetry: No. 189
energy of formation from the pure elements: -414 meV/atom

Cell lengths 4.658, 7.253, 7.253 Å; angles 120.00, 90.00, 90.00 degrees
Fractional coordinates of all 9 atoms:
Er 0.500 0.733 0.000
Er 0.500 0.000 0.733
Er 0.500 0.267 0.267
Tm 0.000 0.585 0.585
Tm 0.000 0.000 0.415
Tm 0.000 0.415 0.000
Pd 0.000 0.000 0.000
Ru 0.500 0.667 0.333
Ru 0.500 0.333 0.667



What did the fourth record say?
## SrS3F (GGA-PBE)

Data for a geometry-optimized SrS3F structure.

Output
crystal system: cubic
symmetry: No. 221
uncorrected formation energy: -0.37 eV per atom
polymorph energy (0 for the lowest one): 0.000 eV per atom

Cell lengths 4.563, 4.563, 4.563 Å; angles 90.00, 90.00, 90.00 degrees
Fractional coordinates of all 5 atoms:
Sr 0.500 0.500 0.500
S 0.000 0.500 0.000
S 0.000 0.000 0.500
S 0.500 0.000 0.000
F 0.000 0.000 0.000



Please write out number 6 again, unchanged.
## Nd5DySc2 (GGA-PBE)

Data for a geometry-optimized Nd5DySc2 structure.

Output
crystal system: tetragonal
symmetry: No. 140
polymorph energy (0 for the lowest one): 0.102 eV per atom
energy of formation from the pure elements: 140 meV/atom

Cell lengths 9.103, 9.103, 8.980 Å; angles 120.45, 120.45, 90.00 degrees
Last column: magnetic moment on the atom in μB.
Fractional coordinates of all 16 atoms:
Nd 0.490 0.692 0.681  0.00
Nd 0.808 0.010 0.319  0.00
Nd 0.000 0.000 0.000  0.04
Nd 0.500 0.500 0.000  0.04
Nd 0.192 0.990 0.681  0.00
Nd 0.692 0.192 0.681  0.00
Nd 0.990 0.490 0.681  0.00
Nd 0.308 0.808 0.319  0.00
Nd 0.010 0.510 0.319  0.00
Nd 0.510 0.308 0.319  0.00
Dy 0.750 0.750 0.500  0.07
Dy 0.250 0.250 0.500  0.07
Sc 0.148 0.352 0.000  0.00
Sc 0.648 0.148 0.000  0.00
Sc 0.352 0.852 0.000  0.00
Sc 0.852 0.648 0.000  0.00



Copy entry 5 word for word.
## TcBi2N (GGA-PBE)

Data for a geometry-optimized TcBi2N structure.

Output
crystal system: tetragonal
symmetry: No. 122
uncorrected formation energy: 1.04 eV per atom

Cell lengths 6.070, 6.070, 6.600 Å; angles 62.63, 62.63, 90.00 degrees
Fractional coordinates of all 8 atoms:
N 0.500 0.500 0.000
N 0.250 0.750 0.500
Bi 0.581 0.125 0.250
Bi 0.169 0.625 0.250
Bi 0.375 0.419 0.750
Bi 0.875 0.831 0.750
Tc 0.000 0.000 0.000
Tc 0.750 0.250 0.500